Entry 1:
Here is an optimized crystal structure of Rb4Nd3TlO8 from Alexandria. Energies are from PBE.

Lattice parameters (Å, degrees): 7.2732 7.8338 7.2757 117.66 119.99 90.00
Atoms (fractional coordinates):
1 Rb 0.5000 0.0000 0.0000
2 Rb 0.5000 0.0000 0.5000
3 Rb 0.0000 0.0000 0.0000
4 Rb 0.0000 0.0000 0.5000
5 Nd 0.5000 0.5000 0.0000
6 Nd 0.5000 0.5000 0.5000
7 Nd 0.0000 0.5000 0.5000
8 Tl 0.0000 0.5000 0.0000
9 O 0.2294 0.6865 0.9571
10 O 0.2299 0.6869 0.4598
11 O 0.2737 0.3210 0.5474
12 O 0.7277 0.6865 0.9571
13 O 0.2723 0.3135 0.0429
14 O 0.7263 0.6790 0.4526
15 O 0.7701 0.3131 0.5402
16 O 0.7706 0.3135 0.0429

Output
SG = R-3m, No. 166
formation energy (no corrections) = -2.1347 eV/atom

Entry 2:
Here is an optimized crystal structure of Pm6SmSc2 from Alexandria. Energies are from PBE.

Lattice parameters (Å, degrees): 9.0377 8.7196 8.7196 60.70 81.44 81.44
Atoms (fractional coordinates):
1 Pm 0.6734 0.6893 0.5490
2 Pm 0.8266 0.4510 0.3107
3 Pm 0.3266 0.3107 0.4510
4 Pm 0.1734 0.5490 0.6893
5 Pm 0.9926 0.9111 0.3621
6 Pm 0.5074 0.6379 0.0889
7 Pm 0.0074 0.0889 0.6379
8 Pm 0.4926 0.3621 0.9111
9 Pm 0.1212 0.6885 0.0978
10 Pm 0.3788 0.9022 0.3115
11 Pm 0.8788 0.3115 0.9022
12 Pm 0.6212 0.0978 0.6885
13 Sm 0.2500 0.0836 0.9164
14 Sm 0.7500 0.9164 0.0836
15 Sc 0.3450 0.8525 0.7064
16 Sc 0.1550 0.2936 0.1475
17 Sc 0.6550 0.1475 0.2936
18 Sc 0.8450 0.7064 0.8525

Output
formation enthalpy at 0 K = 0.162 eV/atom
SG = C2/c, No. 15
Fermi-level density of states = 28.66 states/eV per cell
E above lowest polymorph = 0 meV per atom

What did the first record say?
Here is an optimized crystal structure of Rb4Nd3TlO8 from Alexandria. Energies are from PBE.

Lattice parameters (Å, degrees): 7.2732 7.8338 7.2757 117.66 119.99 90.00
Atoms (fractional coordinates):
1 Rb 0.5000 0.0000 0.0000
2 Rb 0.5000 0.0000 0.5000
3 Rb 0.0000 0.0000 0.0000
4 Rb 0.0000 0.0000 0.5000
5 Nd 0.5000 0.5000 0.0000
6 Nd 0.5000 0.5000 0.5000
7 Nd 0.0000 0.5000 0.5000
8 Tl 0.0000 0.5000 0.0000
9 O 0.2294 0.6865 0.9571
10 O 0.2299 0.6869 0.4598
11 O 0.2737 0.3210 0.5474
12 O 0.7277 0.6865 0.9571
13 O 0.2723 0.3135 0.0429
14 O 0.7263 0.6790 0.4526
15 O 0.7701 0.3131 0.5402
16 O 0.7706 0.3135 0.0429

Output
SG = R-3m, No. 166
formation energy (no corrections) = -2.1347 eV/atom